1.
PBE LaTi2Sb2, relaxed; magnetic moment = 0.000 μB per formula unit; relative energy among the computed polymorphs = 0.000 eV per atom; space group = I4/mmm
1.0
-2.101 2.101 6.899
2.101 -2.101 6.899
2.101 2.101 -6.899
La Ti Sb
1 2 2
Direct
0.000 0.000 0.000 La
0.250 0.750 0.500 Ti
0.750 0.250 0.500 Ti
0.382 0.382 0.000 Sb
0.618 0.618 0.000 Sb

2.
PBE LaTi2Sb2, relaxed; magnetic moment = 0.000 μB per formula unit; relative energy among the computed polymorphs = 0.251 eV per atom; space group = P4/mbm
1.0
8.193 0.000 0.000
0.000 8.193 0.000
0.000 0.000 3.465
La Ti Sb
2 4 4
Direct
0.000 0.000 0.000 La
0.500 0.500 0.000 La
0.141 0.359 0.500 Ti
0.359 0.859 0.500 Ti
0.641 0.141 0.500 Ti
0.859 0.641 0.500 Ti
0.143 0.643 0.000 Sb
0.357 0.143 0.000 Sb
0.643 0.857 0.000 Sb
0.857 0.357 0.000 Sb

3.
PBE La2TiSb2, relaxed; magnetic moment = 2.015 μB per formula unit; relative energy among the computed polymorphs = 0.000 eV per atom; space group = P4/mbm
1.0
7.845 0.000 0.000
0.000 7.845 0.000
0.000 0.000 4.680
La Ti Sb
4 2 4
Direct
0.164 0.336 0.000 La
0.336 0.836 0.000 La
0.664 0.164 0.000 La
0.836 0.664 0.000 La
0.000 0.000 0.500 Ti
0.500 0.500 0.500 Ti
0.148 0.648 0.500 Sb
0.352 0.148 0.500 Sb
0.648 0.852 0.500 Sb
0.852 0.352 0.500 Sb

4.
PBE La3TiSb, relaxed; magnetic moment = 0.000 μB per formula unit; relative energy among the computed polymorphs = 0.000 eV per atom; space group = Pm-3m
1.0
5.410 0.000 0.000
0.000 5.410 0.000
0.000 0.000 5.410
La Ti Sb
3 1 1
Direct
0.000 0.000 0.500 La
0.000 0.500 0.000 La
0.500 0.000 0.000 La
0.000 0.000 0.000 Ti
0.500 0.500 0.500 Sb

5.
PBE LaTi2Sb, relaxed; magnetic moment = 0.000 μB per formula unit; relative energy among the computed polymorphs = 0.000 eV per atom; space group = Fm-3m
1.0
0.000 3.463 3.463
3.463 0.000 3.463
3.463 3.463 0.000
La Ti Sb
1 2 1
Direct
0.000 0.000 0.000 La
0.250 0.250 0.250 Ti
0.750 0.750 0.750 Ti
0.500 0.500 0.500 Sb

6.
PBE La2TiSb2, relaxed; magnetic moment = 3.952 μB per formula unit; relative energy among the computed polymorphs = 0.748 eV per atom; space group = I4/mmm
1.0
-2.136 2.136 8.898
2.136 -2.136 8.898
2.136 2.136 -8.898
La Ti Sb
2 1 2
Direct
0.104 0.104 0.000 La
0.896 0.896 0.000 La
0.500 0.500 0.000 Ti
0.250 0.750 0.500 Sb
0.750 0.250 0.500 Sb

- Which formula does entry 6 have?
  La2TiSb2